Record 1
The following is a DFT calculation (GGA-PBE) of a relaxed structure of Tl3InSe4.

Calculated values
The space-group type is Pmn2_1, No. 31. Its uncorrected formation energy is -372 meV/atom.

Cell lengths 6.8691, 6.9631, 11.0372 Å; angles 90.00, 90.00, 90.00 degrees
Closest atoms and distances in Å follow each position.
Atoms (fractional coordinates):
Tl (0.0328, 0.7163, 0.7504)  4 Se 2.84-2.94
Se (0.1155, 0.7673, 0.5000)  1 In 2.66, 2 Tl 2.84
Tl (0.0328, 0.7163, 0.2496)  4 Se 2.84-2.94
Tl (0.5328, 0.2837, 0.2504)  4 Se 2.84-2.94
In (0.0010, 0.1926, 0.0000)  4 Se 2.60-2.66
Tl (0.5439, 0.7668, 0.0000)  4 Se 3.23-3.28
Se (0.1093, 0.3076, 0.2142)  1 In 2.60
Se (0.1093, 0.3076, 0.7858)  1 In 2.60
Se (0.6093, 0.6924, 0.2858)  1 In 2.60
Se (0.6155, 0.2327, 0.0000)  1 In 2.66, 2 Tl 2.84
Se (0.6093, 0.6924, 0.7142)  1 In 2.60
Se (0.0707, 0.8168, 0.0000)  1 In 2.66, 2 Tl 2.85
In (0.5010, 0.8074, 0.5000)  4 Se 2.60-2.66
Tl (0.5328, 0.2837, 0.7496)  4 Se 2.84-2.94
Tl (0.0439, 0.2332, 0.5000)  4 Se 3.23-3.28
Se (0.5707, 0.1832, 0.5000)  1 In 2.66, 2 Tl 2.85

***

Record 2
The following is a DFT calculation (GGA-PBE) of a relaxed structure of TlIn2Se.

Calculated values
The space-group type is I-42d, No. 122. Its uncorrected formation energy is -73 meV/atom.

Cell lengths 6.8947, 6.8947, 7.8881 Å; angles 64.09, 64.09, 90.00 degrees
Closest atoms and distances in Å follow each position.
Atoms (fractional coordinates):
Tl (0.7500, 0.2500, 0.5000)  4 In 2.97
In (0.8750, 0.8557, 0.7500)  2 Se 2.81, 2 Tl 2.97
Se (0.2500, 0.7500, 0.5000)  4 In 2.81
In (0.6057, 0.1250, 0.2500)  2 Se 2.81, 2 Tl 2.97
Se (0.5000, 0.5000, 0.0000)  4 In 2.81
In (0.3750, 0.3943, 0.7500)  2 Se 2.81, 2 Tl 2.97
Tl (0.0000, 0.0000, 0.0000)  4 In 2.97
In (0.1443, 0.6250, 0.2500)  2 Se 2.81, 2 Tl 2.97

***

Record 3
The following is a DFT calculation (GGA-PBE) of a relaxed structure of TlIn2Se.

Calculated values
The space-group type is Imm2, No. 44. Its uncorrected formation energy is -162 meV/atom.

Cell lengths 6.3556, 6.3556, 6.3556 Å; angles 142.68, 132.44, 61.96 degrees
Closest atoms and distances in Å follow each position.
Atoms (fractional coordinates):
Se (0.4812, 0.4812, 0.0000)  6 In 2.94-3.29
In (0.0094, 0.0094, 0.0000)  4 Se 3.29, 2 Tl 3.46, 4 In 3.53-3.64
In (0.2868, 0.7868, 0.5000)  2 Se 2.94
Tl (0.7226, 0.2226, 0.5000)  2 Se 3.32, 6 In 3.35-3.46

***

Record 4
The following is a DFT calculation (GGA-PBE) of a relaxed structure of Tl3In2Se2.

Calculated values
The space-group type is P-1, No. 2. Its uncorrected formation energy is -256 meV/atom.

Cell lengths 4.0238, 7.1276, 7.9087 Å; angles 75.59, 90.12, 73.21 degrees
Closest atoms and distances in Å follow each position.
Atoms (fractional coordinates):
Tl (0.5000, 0.0000, 0.0000)  2 Tl 3.38, 4 In 3.40-3.42, 4 Se 3.43-3.46
Se (0.7991, 0.4036, 0.8013)  3 In 2.94-2.98, 2 Tl 3.21
Tl (0.3925, 0.2218, 0.5645)  3 Se 3.21-3.32, 2 Tl 3.38-3.44, 2 In 3.50
In (0.8596, 0.2840, 0.1922)  3 Se 2.94-2.98
Tl (0.6075, 0.7782, 0.4355)  3 Se 3.21-3.32, 2 Tl 3.38-3.44, 2 In 3.50
In (0.1404, 0.7160, 0.8078)  3 Se 2.94-2.98
Se (0.2009, 0.5964, 0.1987)  3 In 2.94-2.98, 2 Tl 3.21

***

Record 5
The following is a DFT calculation (GGA-PBE) of a relaxed structure of TlIn2Se.

Calculated values
The space-group type is Cmmm, No. 65. Its uncorrected formation energy is -193 meV/atom.

Cell lengths 3.9128, 5.7626, 5.7574 Å; angles 66.34, 90.00, 90.00 degrees
Closest atoms and distances in Å follow each position.
Atoms (fractional coordinates):
In (0.0000, 0.4693, 0.4691)  2 Se 2.88, 2 In 3.21
Tl (0.5000, 0.7500, 0.7500)  2 Se 3.15, 4 In 3.34
In (0.0000, 0.0307, 0.0309)  2 Se 2.88, 2 In 3.21
Se (0.5000, 0.2500, 0.2500)  4 In 2.88, 2 Tl 3.15

***

Record 6
The following is a DFT calculation (GGA-PBE) of a relaxed structure of Tl4InSe.

Calculated values
The space-group type is F-43m, No. 216. Its uncorrected formation energy is 98 meV/atom.

Cell lengths 6.4395, 6.4395, 6.4395 Å; angles 60.00, 60.00, 60.00 degrees
Closest atoms and distances in Å follow each position.
Atoms (fractional coordinates):
Se (0.0000, 0.0000, 0.0000)  12 Tl 3.77, 4 In 3.94
Tl (0.3747, 0.3747, 0.3747)  6 Tl 3.21-3.23
In (0.7500, 0.7500, 0.7500)  12 Tl 3.78, 4 Se 3.94
Tl (0.3747, 0.8760, 0.3747)  6 Tl 3.21-3.23
Tl (0.3747, 0.3747, 0.8760)  6 Tl 3.21-3.23
Tl (0.8760, 0.3747, 0.3747)  6 Tl 3.21-3.23

***

Record 7
The following is a DFT calculation (GGA-PBE) of a relaxed structure of Tl5In3Se8.

Calculated values
The space-group type is P-42m, No. 111. Its uncorrected formation energy is -464 meV/atom.

Cell lengths 8.2349, 8.2349, 7.0040 Å; angles 90.00, 90.00, 90.00 degrees
Closest atoms and distances in Å follow each position.
Atoms (fractional coordinates):
Tl (0.5000, 0.0000, 0.5000)  2 Tl 3.50, 8 Se 3.52-3.54
Tl (0.5000, 0.0000, 0.0000)  8 Se 3.48-3.52, 2 Tl 3.50
Se (0.1750, 0.1750, 0.2416)  1 In 2.65, 1 Tl 2.73
Se (0.6712, 0.3288, 0.2502)  2 In 2.65
Se (0.1750, 0.8250, 0.7584)  1 In 2.65, 1 Tl 2.73
In (0.0000, 0.0000, 0.0000)  4 Se 2.65
In (0.5000, 0.5000, 0.0000)  4 Se 2.65
Tl (0.0000, 0.5000, 0.5000)  2 Tl 3.50, 8 Se 3.52-3.54
Se (0.3288, 0.6712, 0.2502)  2 In 2.65
Se (0.8250, 0.1750, 0.7584)  1 In 2.65, 1 Tl 2.73
Tl (0.0000, 0.5000, 0.0000)  8 Se 3.48-3.52, 2 Tl 3.50
Se (0.3288, 0.3288, 0.7498)  2 In 2.65
Se (0.8250, 0.8250, 0.2416)  1 In 2.65, 1 Tl 2.73
Se (0.6712, 0.6712, 0.7498)  2 In 2.65
In (0.5000, 0.5000, 0.5000)  4 Se 2.65
Tl (0.0000, 0.0000, 0.5000)  4 Se 2.73

***

Record 8
The following is a DFT calculation (GGA-PBE) of a relaxed structure of TlIn2Se.

Calculated values
The space-group type is R-3m, No. 166. Its uncorrected formation energy is -217 meV/atom.

Cell lengths 8.9046, 8.9046, 8.9046 Å; angles 25.73, 25.73, 25.73 degrees
Closest atoms and distances in Å follow each position.
Atoms (fractional coordinates):
Se (0.2500, 0.2500, 0.2500)  6 In 2.94
In (0.5120, 0.5120, 0.5120)  3 Se 2.94
Tl (0.7500, 0.7500, 0.7500)  6 In 3.36
In (0.9880, 0.9880, 0.9880)  3 Se 2.94

***

Record 9
The following is a DFT calculation (GGA-PBE) of a relaxed structure of TlIn5Se4.

Calculated values
The space-group type is Pmmn, No. 59. Its uncorrected formation energy is -329 meV/atom.

Cell lengths 7.2677, 8.5362, 11.1554 Å; angles 90.00, 90.00, 90.00 degrees
Closest atoms and distances in Å follow each position.
Atoms (fractional coordinates):
Se (0.0813, 0.5000, 0.2104)  3 In 2.64-2.92
In (0.7148, 0.7071, 0.7391)  3 Se 2.92-3.25, 1 In 3.22
In (0.7148, 0.2929, 0.2609)  3 Se 2.92-3.25, 1 In 3.22
Se (0.2762, 0.7412, 0.5000)  1 In 2.61
In (0.9138, 0.5000, 0.0000)  4 Se 2.61-2.64
Se (0.9187, 0.0000, 0.7104)  3 In 2.64-2.92
Se (0.7238, 0.2412, 0.0000)  1 In 2.61
In (0.2852, 0.7929, 0.2391)  3 Se 2.92-3.25, 1 In 3.22
Tl (0.0463, 0.0000, 0.0000)  4 Se 3.12-3.36
Se (0.0813, 0.5000, 0.7896)  3 In 2.64-2.92
Se (0.2762, 0.2588, 0.5000)  1 In 2.61
In (0.0862, 0.0000, 0.5000)  4 Se 2.61-2.64
Se (0.7238, 0.7588, 0.0000)  1 In 2.61
In (0.2852, 0.2071, 0.7609)  3 Se 2.92-3.25, 1 In 3.22
Tl (0.9537, 0.5000, 0.5000)  4 Se 3.12-3.36
In (0.7148, 0.2929, 0.7391)  3 Se 2.92-3.25, 1 In 3.22
In (0.7148, 0.7071, 0.2609)  3 Se 2.92-3.25, 1 In 3.22
In (0.2852, 0.2071, 0.2391)  3 Se 2.92-3.25, 1 In 3.22
Se (0.9187, 0.0000, 0.2896)  3 In 2.64-2.92
In (0.2852, 0.7929, 0.7609)  3 Se 2.92-3.25, 1 In 3.22

***

Please write out number 5 again, unchanged.
The following is a DFT calculation (GGA-PBE) of a relaxed structure of TlIn2Se.

Calculated values
The space-group type is Cmmm, No. 65. Its uncorrected formation energy is -193 meV/atom.

Cell lengths 3.9128, 5.7626, 5.7574 Å; angles 66.34, 90.00, 90.00 degrees
Closest atoms and distances in Å follow each position.
Atoms (fractional coordinates):
In (0.0000, 0.4693, 0.4691)  2 Se 2.88, 2 In 3.21
Tl (0.5000, 0.7500, 0.7500)  2 Se 3.15, 4 In 3.34
In (0.0000, 0.0307, 0.0309)  2 Se 2.88, 2 In 3.21
Se (0.5000, 0.2500, 0.2500)  4 In 2.88, 2 Tl 3.15

***

What did the first record say?
The following is a DFT calculation (GGA-PBE) of a relaxed structure of Tl3InSe4.

Calculated values
The space-group type is Pmn2_1, No. 31. Its uncorrected formation energy is -372 meV/atom.

Cell lengths 6.8691, 6.9631, 11.0372 Å; angles 90.00, 90.00, 90.00 degrees
Closest atoms and distances in Å follow each position.
Atoms (fractional coordinates):
Tl (0.0328, 0.7163, 0.7504)  4 Se 2.84-2.94
Se (0.1155, 0.7673, 0.5000)  1 In 2.66, 2 Tl 2.84
Tl (0.0328, 0.7163, 0.2496)  4 Se 2.84-2.94
Tl (0.5328, 0.2837, 0.2504)  4 Se 2.84-2.94
In (0.0010, 0.1926, 0.0000)  4 Se 2.60-2.66
Tl (0.5439, 0.7668, 0.0000)  4 Se 3.23-3.28
Se (0.1093, 0.3076, 0.2142)  1 In 2.60
Se (0.1093, 0.3076, 0.7858)  1 In 2.60
Se (0.6093, 0.6924, 0.2858)  1 In 2.60
Se (0.6155, 0.2327, 0.0000)  1 In 2.66, 2 Tl 2.84
Se (0.6093, 0.6924, 0.7142)  1 In 2.60
Se (0.0707, 0.8168, 0.0000)  1 In 2.66, 2 Tl 2.85
In (0.5010, 0.8074, 0.5000)  4 Se 2.60-2.66
Tl (0.5328, 0.2837, 0.7496)  4 Se 2.84-2.94
Tl (0.0439, 0.2332, 0.5000)  4 Se 3.23-3.28
Se (0.5707, 0.1832, 0.5000)  1 In 2.66, 2 Tl 2.85